# Er4TlInC | Alexandria | PBE-GGA | relaxed
# Size of the total moment, μB/cell: 0.0
# DFT formation energy, meV per atom: -366.0
data_Er4TlInC
_symmetry_space_group_name_H-M 'C m c m'
_symmetry_Int_Tables_number 63
_symmetry_space_group_name_Hall '-C 2c 2'
_cell_length_a 6.9187
_cell_length_b 15.0375
_cell_length_c 6.9163
_cell_angle_alpha 90.00
_cell_angle_beta 90.00
_cell_angle_gamma 90.00
loop_
_atom_site_label
_atom_site_fract_x
_atom_site_fract_y
_atom_site_fract_z
Er1 0.0000 0.0880 0.2500
Er2 0.0000 0.4111 0.2500
Er3 0.2500 0.2500 0.0000
Tl1 0.0000 0.1174 0.7500
In1 0.0000 0.3821 0.7500
C1 0.0000 0.2500 0.2500